(1)
A relaxed KLiF3 crystal. Source: Alexandria, functional PBE.

Structure (extended XYZ):
```
10
Lattice="-1.9388 1.9388 11.8334 1.9388 -1.9388 11.8334 1.9388 1.9388 -11.8334" Properties=species:S:1:pos:R:3 pbc="T T T"
K 0.0000 0.0000 0.0000
K 0.0000 1.9388 5.9167
Li 1.9388 0.0000 3.3780
Li 1.9388 0.0000 8.4554
F 0.0000 0.0000 7.5226
F 0.0000 0.9715 2.3002
F 0.0000 0.0000 16.1443
F 0.0000 2.9061 2.3002
F -0.9673 1.9388 9.5332
F 0.9673 1.9388 9.5332
```

- Uncorrected formation energy: -2014 meV/atom
- V: 17.79 Å³/atom
- Offset from the most stable computed form: 27.88 kJ/mol of atoms
- Magnetization: 0.0 μB/cell
- Space group: I-4m2 (119)

---

(2)
A relaxed Hf12TiAl3 crystal. Source: Alexandria, functional PBE.

Structure (extended XYZ):
```
16
Lattice="4.3534 0.0000 0.0000 0.0000 4.3534 0.0000 0.0000 0.0000 17.4028" Properties=species:S:1:pos:R:3 pbc="T T T"
Hf 0.0000 0.0000 0.0000
Hf 0.0000 0.0000 4.2996
Hf 0.0000 0.0000 8.7014
Hf 0.0000 0.0000 13.1032
Hf 0.0000 2.1767 2.1528
Hf 0.0000 2.1767 6.5052
Hf 0.0000 2.1767 10.8976
Hf 0.0000 2.1767 15.2500
Hf 2.1767 0.0000 2.1528
Hf 2.1767 0.0000 6.5052
Hf 2.1767 0.0000 10.8976
Hf 2.1767 0.0000 15.2500
Ti 2.1767 2.1767 8.7014
Al 2.1767 2.1767 0.0000
Al 2.1767 2.1767 4.3260
Al 2.1767 2.1767 13.0769
```

- V: 20.61 Å³/atom
- ΔH_f (0 K): -152 meV per atom
- Magnetization: 0.0 μB/cell
- Space group: P4/mmm (123)

---

(3)
A relaxed FeHgBiH crystal. Source: Alexandria, functional PBE.

Structure (extended XYZ):
```
4
Lattice="3.2166 0.0000 0.0000 0.0000 3.3949 0.0000 -0.0336 0.0000 6.7028" Properties=species:S:1:pos:R:3 pbc="T T T"
Fe 0.0000 0.0000 0.0000
Hg 0.0075 1.6975 2.1704
Bi 1.5756 1.6975 5.1192
H 1.6077 0.0000 0.6190
```

- V: 18.30 Å³/atom
- Offset from the most stable computed form: 0.00 kJ/mol of atoms
- Magnetization: 1.7 μB/cell
- Space group: Pm (6)

---

- Among the records above, which one has the highest magnetization?
  FeHgBiH

---

- Look up the magnetization of the first one.
  0.0 μB/cell

---

- Look up the V of the third one.
  18.30 Å³/atom

---

- Which of these has the highest magnetization?
  FeHgBiH